This record from OQMD describes TmInNiTe3 after structural relaxation. The functional is PBE.

Unit cell a=4.0112 b=15.1301 c=10.8379 alpha=90.00 beta=90.00 gamma=90.00
Closest atoms and distances in Å follow each position.
Space group Cmcm (No. 63)
Unique sites:
Tm 0.0000 0.0000 0.0000 [4 per cell]  6 Te 2.98-3.02
In 0.0000 0.2461 0.2500 [4 per cell]  6 Te 3.21-3.29
Ni 0.0000 0.4744 0.7500 [4 per cell]  4 Te 2.58-2.59
Te 0.0000 0.0815 0.7500 [4 per cell]  2 Ni 2.58
Te 0.0000 0.3602 0.5723 [8 per cell]  1 Ni 2.59

Properties
- DFT total energy (eV for the cell shown) = -103.65
- distance to the lowest polymorph of the same formula (eV/atom) = 0.011
- crystal system = orthorhombic
- calculated volume (Å³/atom) = 27.41

=====

This record from OQMD describes CoCuMo4C2 after structural relaxation. The functional is PBE.

Unit cell a=3.0375 b=3.0375 c=12.7782 alpha=90.00 beta=90.00 gamma=120.00
Closest atoms and distances in Å follow each position.
Space group P-6m2 (No. 187)
Unique sites:
Co 0.0000 0.0000 0.0000 [1 per cell]  6 Mo 2.63
Cu 0.3333 0.6667 0.5000 [1 per cell]  6 Mo 2.74, 6 Cu 3.04
Mo 0.0000 0.0000 0.3354 [2 per cell]  3 C 2.09
Mo 0.3333 0.6667 0.1536 [2 per cell]  3 C 2.12
C 0.6667 0.3333 0.2467 [2 per cell]  6 Mo 2.09-2.12

Properties
- DFT total energy (eV for the cell shown) = -71.45
- crystal system = hexagonal
- calculated volume (Å³/atom) = 12.76

=====

This record from OQMD describes HfBeIn after structural relaxation. The functional is PBE.

Unit cell a=6.3140 b=6.3140 c=6.3140 alpha=90.00 beta=90.00 gamma=90.00
Closest atoms and distances in Å follow each position.
Space group F-43m (No. 216)
Unique sites:
Hf 0.0000 0.0000 0.0000 [4 per cell]  4 In 2.73
Be 0.0000 0.0000 0.5000 [4 per cell]  4 In 2.73
In 0.2500 0.2500 0.7500 [4 per cell]  4 Hf 2.73, 4 Be 2.73

Properties
- DFT total energy (eV for the cell shown) = -58.11
- distance to the lowest polymorph of the same formula (eV/atom) = 0.000
- crystal system = cubic
- calculated volume (Å³/atom) = 20.98

=====

This record from OQMD describes NdGeAsO after structural relaxation. The functional is PBE.

Unit cell a=3.9599 b=6.2525 c=7.1387 alpha=90.00 beta=90.00 gamma=90.00
Closest atoms and distances in Å follow each position.
Space group Pmc2_1 (No. 26)
Unique sites:
Nd 0.0000 0.2356 0.0000 [2 per cell]  2 O 2.30
Ge 0.5000 0.3943 0.6124 [2 per cell]  1 O 1.88
As 0.0000 0.2444 0.4279 [2 per cell]  2 Ge 2.56
O 0.5000 0.2345 0.8356 [2 per cell]  1 Ge 1.88

Properties
- DFT total energy (eV for the cell shown) = -48.87
- distance to the lowest polymorph of the same formula (eV/atom) = 0.100
- crystal system = orthorhombic
- calculated volume (Å³/atom) = 22.09